Below is a relaxed Ac8Nd3Er2 crystal, with properties calculated at the GGA-PBE level.

Calculated values
Space group   C2/m
ΔE_f   0.233 eV per atom
DOS(E_F)   20.3 states/eV/f.u.

Lattice parameters (Å, degrees): 7.2557 9.2970 9.2970 64.43 81.89 81.89
Closest atoms and distances in Å follow each position.
Positions (direct):
1 Ac 0.4285 0.1942 0.5655  2 Er 3.50-3.75, 2 Ac 3.68-3.81, 2 Nd 3.69-3.73
2 Ac 0.5715 0.8058 0.4345  2 Er 3.50-3.75, 2 Ac 3.68-3.81, 2 Nd 3.69-3.73
3 Nd 0.5000 0.0000 0.0000  6 Ac 3.56-3.73, 2 Er 3.58, 4 Nd 3.96
4 Ac 0.4285 0.5655 0.1942  2 Er 3.50-3.75, 2 Ac 3.68-3.81, 2 Nd 3.69-3.73
5 Ac 0.5715 0.4345 0.8058  2 Er 3.50-3.75, 2 Ac 3.68-3.81, 2 Nd 3.69-3.73
6 Ac 0.8717 0.4116 0.4116  4 Ac 3.60-3.81, 2 Nd 3.81, 1 Er 3.85
7 Nd 0.0000 0.8388 0.1612  1 Nd 3.20
8 Er 0.7011 0.1926 0.1926  7 Ac 3.50-3.85, 3 Nd 3.58-3.77
9 Ac 0.8171 0.8015 0.8015  2 Er 3.51-3.75, 3 Nd 3.56-3.93, 1 Ac 3.72
10 Er 0.2989 0.8074 0.8074  7 Ac 3.50-3.85, 3 Nd 3.58-3.77
11 Nd 0.0000 0.1612 0.8388  1 Nd 3.20
12 Ac 0.1283 0.5884 0.5884  4 Ac 3.60-3.81, 2 Nd 3.81, 1 Er 3.85
13 Ac 0.1830 0.1985 0.1985  2 Er 3.51-3.75, 3 Nd 3.56-3.93, 1 Ac 3.72